(one)
DFT (PBE) results for an optimized crystal structure of V2Fe2Tc.

```
data_V2Fe2Tc
_chemical_formula_sum 'V4 Fe4 Tc2'
_cell_length_a 6.803
_cell_length_b 6.803
_cell_length_c 2.694
_cell_angle_alpha 90.00
_cell_angle_beta 90.00
_cell_angle_gamma 90.00
_space_group_name_H-M_alt 'P 1'
_space_group_IT_number 1
loop_
_space_group_symop_operation_xyz
'x,y,z'
loop_
_atom_site_label
_atom_site_fract_x
_atom_site_fract_y
_atom_site_fract_z
V1 0.154 0.346 0.000
Tc1 0.500 0.500 0.000
Fe1 0.146 0.646 0.500
V2 0.346 0.846 0.000
V3 0.654 0.154 0.000
Fe2 0.354 0.146 0.500
Tc2 0.000 0.000 0.000
Fe3 0.646 0.854 0.500
Fe4 0.854 0.354 0.500
V4 0.846 0.654 0.000
```

Properties
**Calculated density**: 8.3 Mg/m³

=====

(two)
DFT (PBE) results for an optimized crystal structure of V2Fe2Tc.

```
data_V2Fe2Tc
_chemical_formula_sum 'V2 Fe2 Tc1'
_cell_length_a 4.218
_cell_length_b 4.218
_cell_length_c 4.792
_cell_angle_alpha 64.00
_cell_angle_beta 64.00
_cell_angle_gamma 60.10
_space_group_name_H-M_alt 'P 1'
_space_group_IT_number 1
loop_
_space_group_symop_operation_xyz
'x,y,z'
loop_
_atom_site_label
_atom_site_fract_x
_atom_site_fract_y
_atom_site_fract_z
V1 0.701 0.201 0.397
Fe1 0.099 0.599 0.204
V2 0.299 0.799 0.603
Tc1 0.500 0.000 0.000
Fe2 0.901 0.401 0.796
```

Properties
**Calculated density**: 8.1 Mg/m³

=====

(three)
DFT (PBE) results for an optimized crystal structure of V2Fe2Tc.

```
data_V2Fe2Tc
_chemical_formula_sum 'V4 Fe4 Tc2'
_cell_length_a 6.771
_cell_length_b 6.771
_cell_length_c 2.715
_cell_angle_alpha 90.00
_cell_angle_beta 90.00
_cell_angle_gamma 90.00
_space_group_name_H-M_alt 'P 1'
_space_group_IT_number 1
loop_
_space_group_symop_operation_xyz
'x,y,z'
loop_
_atom_site_label
_atom_site_fract_x
_atom_site_fract_y
_atom_site_fract_z
Tc1 0.500 0.500 0.000
Fe1 0.866 0.634 0.000
Fe2 0.634 0.134 0.000
V1 0.663 0.837 0.500
Tc2 0.000 0.000 0.000
V2 0.163 0.663 0.500
V3 0.337 0.163 0.500
V4 0.837 0.337 0.500
Fe3 0.134 0.366 0.000
Fe4 0.366 0.866 0.000
```

Properties
**Calculated density**: 8.3 Mg/m³

=====

Preferred: (two); penalty for the next structure: 0.076 eV/atom.

=====

(one)
DFT (PBE) results for an optimized crystal structure of V6FeTc.

```
data_V6FeTc
_chemical_formula_sum 'V6 Fe1 Tc1'
_cell_length_a 6.685
_cell_length_b 6.684
_cell_length_c 4.724
_cell_angle_alpha 45.02
_cell_angle_beta 44.99
_cell_angle_gamma 60.00
_space_group_name_H-M_alt 'P 1'
_space_group_IT_number 1
loop_
_space_group_symop_operation_xyz
'x,y,z'
loop_
_atom_site_label
_atom_site_fract_x
_atom_site_fract_y
_atom_site_fract_z
Tc1 0.500 0.500 0.500
V1 0.500 0.245 0.254
V2 0.245 0.000 0.255
V3 0.000 0.500 0.254
V4 0.755 0.000 0.745
V5 0.000 0.500 0.746
V6 0.500 0.755 0.746
Fe1 0.000 0.000 0.000
```

Properties
**Calculated density**: 7.2 Mg/m³

=====

(two)
DFT (PBE) results for an optimized crystal structure of V6FeTc.

```
data_V6FeTc
_chemical_formula_sum 'V6 Fe1 Tc1'
_cell_length_a 4.175
_cell_length_b 5.144
_cell_length_c 5.144
_cell_angle_alpha 109.92
_cell_angle_beta 90.00
_cell_angle_gamma 90.00
_space_group_name_H-M_alt 'P 1'
_space_group_IT_number 1
loop_
_space_group_symop_operation_xyz
'x,y,z'
loop_
_atom_site_label
_atom_site_fract_x
_atom_site_fract_y
_atom_site_fract_z
V1 0.000 0.873 0.127
Tc1 0.500 0.125 0.875
V2 0.000 0.872 0.622
V3 0.500 0.125 0.375
V4 0.000 0.378 0.128
V5 0.500 0.625 0.875
V6 0.000 0.377 0.623
Fe1 0.500 0.625 0.375
```

Properties
**Calculated density**: 7.3 Mg/m³

=====

Preferred: (two); penalty for the next structure: 0.047 eV/atom.

=====

(one)
DFT (PBE) results for an optimized crystal structure of ZnFe3Tc.

```
data_ZnFe3Tc
_chemical_formula_sum 'Zn1 Fe3 Tc1'
_cell_length_a 4.331
_cell_length_b 4.331
_cell_length_c 4.331
_cell_angle_alpha 90.00
_cell_angle_beta 90.00
_cell_angle_gamma 90.00
_space_group_name_H-M_alt 'P 1'
_space_group_IT_number 1
loop_
_space_group_symop_operation_xyz
'x,y,z'
loop_
_atom_site_label
_atom_site_fract_x
_atom_site_fract_y
_atom_site_fract_z
Tc1 0.500 0.500 0.500
Fe1 0.000 0.500 0.000
Fe2 0.500 0.000 0.000
Fe3 0.000 0.000 0.500
Zn1 0.000 0.000 0.000
```

Properties
**Calculated density**: 6.8 Mg/m³

=====

(two)
DFT (PBE) results for an optimized crystal structure of ZnFe3Tc.

```
data_ZnFe3Tc
_chemical_formula_sum 'Zn1 Fe3 Tc1'
_cell_length_a 4.469
_cell_length_b 4.469
_cell_length_c 4.469
_cell_angle_alpha 90.00
_cell_angle_beta 90.00
_cell_angle_gamma 90.00
_space_group_name_H-M_alt 'P 1'
_space_group_IT_number 1
loop_
_space_group_symop_operation_xyz
'x,y,z'
loop_
_atom_site_label
_atom_site_fract_x
_atom_site_fract_y
_atom_site_fract_z
Fe1 0.000 0.500 0.000
Fe2 0.000 0.000 0.500
Fe3 0.500 0.000 0.000
Zn1 0.500 0.500 0.500
Tc1 0.000 0.000 0.000
```

Properties
**Calculated density**: 6.2 Mg/m³

=====

Preferred: (two); penalty for the next structure: 0.026 eV/atom.

=====

(one)
DFT (PBE) results for an optimized crystal structure of ZnFe2Tc2.

```
data_ZnFe2Tc2
_chemical_formula_sum 'Zn2 Fe4 Tc4'
_cell_length_a 7.082
_cell_length_b 7.082
_cell_length_c 2.652
_cell_angle_alpha 90.00
_cell_angle_beta 90.00
_cell_angle_gamma 90.00
_space_group_name_H-M_alt 'P 1'
_space_group_IT_number 1
loop_
_space_group_symop_operation_xyz
'x,y,z'
loop_
_atom_site_label
_atom_site_fract_x
_atom_site_fract_y
_atom_site_fract_z
Zn1 0.000 0.000 0.000
Tc1 0.169 0.669 0.500
Fe1 0.122 0.378 0.000
Fe2 0.878 0.622 0.000
Fe3 0.378 0.878 0.000
Zn2 0.500 0.500 0.000
Tc2 0.831 0.331 0.500
Fe4 0.622 0.122 0.000
Tc3 0.331 0.169 0.500
Tc4 0.669 0.831 0.500
```

Properties
**Calculated density**: 9.3 Mg/m³

=====

(two)
DFT (PBE) results for an optimized crystal structure of ZnFe2Tc2.

```
data_ZnFe2Tc2
_chemical_formula_sum 'Zn2 Fe4 Tc4'
_cell_length_a 7.222
_cell_length_b 7.222
_cell_length_c 2.613
_cell_angle_alpha 90.00
_cell_angle_beta 90.00
_cell_angle_gamma 90.00
_space_group_name_H-M_alt 'P 1'
_space_group_IT_number 1
loop_
_space_group_symop_operation_xyz
'x,y,z'
loop_
_atom_site_label
_atom_site_fract_x
_atom_site_fract_y
_atom_site_fract_z
Tc1 0.873 0.627 0.000
Zn1 0.500 0.500 0.000
Fe1 0.335 0.165 0.500
Tc2 0.127 0.373 0.000
Tc3 0.373 0.873 0.000
Fe2 0.835 0.335 0.500
Fe3 0.165 0.665 0.500
Zn2 0.000 0.000 0.000
Tc4 0.627 0.127 0.000
Fe4 0.665 0.835 0.500
```

Properties
**Calculated density**: 9.1 Mg/m³

=====

Preferred: (one); penalty for the next structure: 0.099 eV/atom.

=====

(one)
DFT (PBE) results for an optimized crystal structure of ZrFeTc2.

```
data_ZrFeTc2
_chemical_formula_sum 'Zr1 Fe1 Tc2'
_cell_length_a 2.768
_cell_length_b 2.768
_cell_length_c 8.019
_cell_angle_alpha 90.00
_cell_angle_beta 90.00
_cell_angle_gamma 90.00
_space_group_name_H-M_alt 'P 1'
_space_group_IT_number 1
loop_
_space_group_symop_operation_xyz
'x,y,z'
loop_
_atom_site_label
_atom_site_fract_x
_atom_site_fract_y
_atom_site_fract_z
Tc1 0.000 0.000 0.542
Tc2 0.000 0.000 0.958
Fe1 0.500 0.500 0.750
Zr1 0.500 0.500 0.250
```

Properties
**Calculated density**: 9.3 Mg/m³

=====

(two)
DFT (PBE) results for an optimized crystal structure of ZrFeTc2.

```
data_ZrFeTc2
_chemical_formula_sum 'Zr1 Fe1 Tc2'
_cell_length_a 4.448
_cell_length_b 4.448
_cell_length_c 4.448
_cell_angle_alpha 60.00
_cell_angle_beta 60.00
_cell_angle_gamma 60.00
_space_group_name_H-M_alt 'P 1'
_space_group_IT_number 1
loop_
_space_group_symop_operation_xyz
'x,y,z'
loop_
_atom_site_label
_atom_site_fract_x
_atom_site_fract_y
_atom_site_fract_z
Zr1 0.500 0.500 0.500
Fe1 0.000 0.000 0.000
Tc1 0.750 0.750 0.750
Tc2 0.250 0.250 0.250
```

Properties
**Calculated density**: 9.2 Mg/m³

=====

Preferred: (two); penalty for the next structure: 0.079 eV/atom.

=====

(one)
DFT (PBE) results for an optimized crystal structure of Zr4FeTc.

```
data_Zr4FeTc
_chemical_formula_sum 'Zr4 Fe1 Tc1'
_cell_length_a 3.295
_cell_length_b 3.295
_cell_length_c 10.518
_cell_angle_alpha 90.00
_cell_angle_beta 90.00
_cell_angle_gamma 90.00
_space_group_name_H-M_alt 'P 1'
_space_group_IT_number 1
loop_
_space_group_symop_operation_xyz
'x,y,z'
loop_
_atom_site_label
_atom_site_fract_x
_atom_site_fract_y
_atom_site_fract_z
Zr1 0.500 0.500 0.848
Tc1 0.000 0.000 0.000
Zr2 0.000 0.000 0.354
Zr3 0.000 0.000 0.646
Fe1 0.500 0.500 0.500
Zr4 0.500 0.500 0.152
```

Properties
**Calculated density**: 7.5 Mg/m³

=====

(two)
DFT (PBE) results for an optimized crystal structure of Zr4FeTc.

```
data_Zr4FeTc
_chemical_formula_sum 'Zr4 Fe1 Tc1'
_cell_length_a 5.577
_cell_length_b 5.577
_cell_length_c 5.577
_cell_angle_alpha 60.00
_cell_angle_beta 60.00
_cell_angle_gamma 60.00
_space_group_name_H-M_alt 'P 1'
_space_group_IT_number 1
loop_
_space_group_symop_operation_xyz
'x,y,z'
loop_
_atom_site_label
_atom_site_fract_x
_atom_site_fract_y
_atom_site_fract_z
Zr1 0.374 0.374 0.877
Fe1 0.750 0.750 0.750
Zr2 0.374 0.877 0.374
Zr3 0.877 0.374 0.374
Tc1 0.000 0.000 0.000
Zr4 0.374 0.374 0.374
```

Properties
**Calculated density**: 7.0 Mg/m³

=====

Preferred: (one); penalty for the next structure: 0.907 eV/atom.